# PBE-GGA LiMnB4, optimized geometry
# Theoretical density: 4.424 g cm⁻³
# Total DFT energy (no corrections): -0.46940 Ry per atom
data_LiMnB4
_chemical_formula_sum 'Li1 Mn1 B4'
_cell_length_a 3.821
_cell_length_b 3.821
_cell_length_c 3.821
_cell_angle_alpha 60.00
_cell_angle_beta 60.00
_cell_angle_gamma 60.00
_symmetry_space_group_name_H-M 'P 1'
_symmetry_Int_Tables_number 1
loop_
_symmetry_equiv_pos_as_xyz
'x,y,z'
loop_
_atom_site_label
_atom_site_type_symbol
_atom_site_fract_x
_atom_site_fract_y
_atom_site_fract_z
Li1 Li 0.000 0.000 0.000
Mn1 Mn 0.250 0.250 0.250
B1 B 0.118 0.627 0.627
B2 B 0.627 0.118 0.627
B3 B 0.627 0.627 0.118
B4 B 0.627 0.627 0.627

***

# PBE-GGA LiMn3B, optimized geometry
# Theoretical density: 4.823 g cm⁻³
# Total DFT energy (no corrections): -0.41691 Ry per atom
data_LiMn3B
_chemical_formula_sum 'Li1 Mn3 B1'
_cell_length_a 3.976
_cell_length_b 3.976
_cell_length_c 3.976
_cell_angle_alpha 90.00
_cell_angle_beta 90.00
_cell_angle_gamma 90.00
_symmetry_space_group_name_H-M 'P 1'
_symmetry_Int_Tables_number 1
loop_
_symmetry_equiv_pos_as_xyz
'x,y,z'
loop_
_atom_site_label
_atom_site_type_symbol
_atom_site_fract_x
_atom_site_fract_y
_atom_site_fract_z
Li1 Li 0.000 0.000 0.000
Mn1 Mn 0.000 0.000 0.500
Mn2 Mn 0.000 0.500 0.000
Mn3 Mn 0.500 0.000 0.000
B1 B 0.500 0.500 0.500

***

Energy relative to the elements? In order: -0.5, 7.7 eV per formula unit.